The following is a DFT calculation (SCAN) of a PBEsol-optimized structure of Ca2AsCl.

Structure (POSCAR):
```
Ca2AsCl
1.0
3.7535 0.0000 0.0000
-1.8768 3.2507 0.0000
0.0000 0.0000 30.5885
Ca As Cl
6 3 3
Direct
0.0000 0.0000 0.0000 Ca
0.0000 0.0000 0.2191 Ca
0.3333 0.6667 0.6667 Ca
0.3333 0.6667 0.8858 Ca
0.6667 0.3333 0.3333 Ca
0.6667 0.3333 0.5525 Ca
0.0000 0.0000 0.7312 As
0.3333 0.6667 0.3979 As
0.6667 0.3333 0.0646 As
0.0000 0.0000 0.5023 Cl
0.3333 0.6667 0.1690 Cl
0.6667 0.3333 0.8356 Cl
```

Space-group type ... R3m
Spin magnetization ... 0.00 μB per cell
E_form (uncorrected) ... -0.819 eV/atom